1.
Below is Np3As5Pd6 after structural relaxation, with properties calculated at the PBE-GGA level.

Values from the calculation:
Space group   Pmmn (59)
Energy relative to the elements   -51.3 kJ per mole of atoms

a = 4.0668 Å, b = 12.8604 Å, c = 9.9856 Å
α = 90.00°, β = 90.00°, γ = 90.00°
Sites, in units of the cell vectors:
Np: 0.2500 0.0855 0.2420
Np: 0.2500 0.4145 0.2420
Np: 0.2500 0.7500 0.2658
Np: 0.7500 0.2500 0.7342
Np: 0.7500 0.5855 0.7580
Np: 0.7500 0.9145 0.7580
As: 0.2500 0.0863 0.8426
As: 0.2500 0.4137 0.8426
As: 0.2500 0.6279 0.5389
As: 0.2500 0.7500 0.8357
As: 0.2500 0.8721 0.5389
As: 0.7500 0.1279 0.4611
As: 0.7500 0.2500 0.1643
As: 0.7500 0.3721 0.4611
As: 0.7500 0.5863 0.1574
As: 0.7500 0.9137 0.1574
Pd: 0.2500 0.0631 0.5965
Pd: 0.2500 0.2500 0.4700
Pd: 0.2500 0.2500 0.9912
Pd: 0.2500 0.4369 0.5965
Pd: 0.2500 0.5814 0.9973
Pd: 0.2500 0.9186 0.9973
Pd: 0.7500 0.0814 0.0027
Pd: 0.7500 0.4186 0.0027
Pd: 0.7500 0.5631 0.4035
Pd: 0.7500 0.7500 0.0088
Pd: 0.7500 0.7500 0.5300
Pd: 0.7500 0.9369 0.4035


2.
Below is CaYN3 after structural relaxation, with properties calculated at the PBE-GGA level.

Values from the calculation:
ΔE_f (raw)   0.41 eV/atom
Space group   Pm-3m (221)

a = 4.4064 Å, b = 4.4064 Å, c = 4.4064 Å
α = 90.00°, β = 90.00°, γ = 90.00°
Sites, in units of the cell vectors:
Ca: 0.0000 0.0000 0.0000
Y: 0.5000 0.5000 0.5000
N: 0.0000 0.5000 0.5000
N: 0.5000 0.0000 0.5000
N: 0.5000 0.5000 0.0000


3.
Below is YMoS2 after structural relaxation, with properties calculated at the PBE-GGA level.

Values from the calculation:
ΔE_f (raw)   -0.52 eV/atom
Space group   R-3m (166)

a = 3.3846 Å, b = 3.3846 Å, c = 25.4384 Å
α = 90.00°, β = 90.00°, γ = 120.00°
Sites, in units of the cell vectors:
Y: 0.0000 0.0000 0.0000
Y: 0.3333 0.6667 0.6667
Y: 0.6667 0.3333 0.3333
Mo: 0.0000 0.0000 0.5000
Mo: 0.3333 0.6667 0.1667
Mo: 0.6667 0.3333 0.8333
S: 0.0000 0.0000 0.1068
S: 0.0000 0.0000 0.8932
S: 0.3333 0.6667 0.5599
S: 0.3333 0.6667 0.7734
S: 0.6667 0.3333 0.2266
S: 0.6667 0.3333 0.4401


4.
Below is ScCo2Ru after structural relaxation, with properties calculated at the PBE-GGA level.

Values from the calculation:
Space group   P4mm (99)
Energy relative to the elements   -3.6 kJ per mole of atoms

a = 3.0772 Å, b = 3.0772 Å, c = 5.9602 Å
α = 90.00°, β = 90.00°, γ = 90.00°
Sites, in units of the cell vectors:
Sc: 0.0000 0.0000 0.0000
Co: 0.0000 0.0000 0.4834
Co: 0.5000 0.5000 0.2806
Ru: 0.5000 0.5000 0.7228


5.
Below is YSc2Au after structural relaxation, with properties calculated at the PBE-GGA level.

Values from the calculation:
Space group   P4/mmm (123)
Energy relative to the elements   -34.9 kJ per mole of atoms

a = 3.4787 Å, b = 3.4787 Å, c = 7.9350 Å
α = 90.00°, β = 90.00°, γ = 90.00°
Sites, in units of the cell vectors:
Y: 0.0000 0.0000 0.0000
Sc: 0.5000 0.5000 0.2974
Sc: 0.5000 0.5000 0.7026
Au: 0.0000 0.0000 0.5000


6.
Below is Zn3InPd4 after structural relaxation, with properties calculated at the PBE-GGA level.

Values from the calculation:
Space group   R-3m (166)
Energy relative to the elements   -49.7 kJ per mole of atoms

a = 7.7291 Å, b = 7.7291 Å, c = 7.7291 Å
α = 33.19°, β = 33.19°, γ = 33.19°
Sites, in units of the cell vectors:
Zn: 0.0000 0.0000 0.0000
Zn: 0.2517 0.2517 0.2517
Zn: 0.7483 0.7483 0.7483
In: 0.5000 0.5000 0.5000
Pd: 0.1192 0.1192 0.1192
Pd: 0.3727 0.3727 0.3727
Pd: 0.6273 0.6273 0.6273
Pd: 0.8808 0.8808 0.8808


7.
Below is PaAgCl2 after structural relaxation, with properties calculated at the PBE-GGA level.

Values from the calculation:
ΔE_f (raw)   -0.90 eV/atom
Space group   R-3m (166)

a = 3.3323 Å, b = 3.3323 Å, c = 33.5394 Å
α = 90.00°, β = 90.00°, γ = 120.00°
Sites, in units of the cell vectors:
Pa: 0.0000 0.0000 0.0000
Pa: 0.3333 0.6667 0.6667
Pa: 0.6667 0.3333 0.3333
Ag: 0.0000 0.0000 0.5000
Ag: 0.3333 0.6667 0.1667
Ag: 0.6667 0.3333 0.8333
Cl: 0.0000 0.0000 0.3934
Cl: 0.0000 0.0000 0.6066
Cl: 0.3333 0.6667 0.0601
Cl: 0.3333 0.6667 0.2732
Cl: 0.6667 0.3333 0.7268
Cl: 0.6667 0.3333 0.9399